# 1
Entry from Alexandria: a relaxed structure of BiTeMoN2 (GGA-PBE).

a b c (Å): 4.129 4.129 5.594
angles (deg): 90.00 90.00 90.00
Positions (direct):
1 Mo 0.000 0.000 0.000
2 Te 0.000 0.000 0.500
3 Bi 0.500 0.500 0.500
4 N 0.000 0.500 0.000
5 N 0.500 0.000 0.000

Values from the calculation:
formation energy (no corrections)	0.72	eV per atom
magnetization	0.01	μB per formula unit
symmetry	P4/mmm, No. 123
final energy	-6.181	eV per atom



# 2
Entry from Alexandria: a relaxed structure of BeIrRh (GGA-PBE).

a b c (Å): 3.826 3.826 3.826
angles (deg): 60.00 60.00 60.00
Positions (direct):
1 Be 0.750 0.750 0.750
2 Ir 0.000 0.000 0.000
3 Rh 0.500 0.500 0.500

Values from the calculation:
magnetization	0.00	μB per formula unit
symmetry	F-43m, No. 216
final energy	-6.669	eV per atom
energy relative to the elements	-2.2	kJ/mol of atoms